<1>
# Sc5Se

Crystalline Sc5Se at its relaxed geometry (PBE, Alexandria via LeMat-Bulk).

a = 5.608 Å, b = 5.608 Å, c = 4.862 Å
α = 90.00°, β = 90.00°, γ = 120.00°
Sites, in units of the cell vectors:
Sc 0.000 0.690 0.000
Sc 0.310 0.310 0.000
Sc 0.333 0.667 0.500
Sc 0.667 0.333 0.500
Sc 0.690 0.000 0.000
Se 0.000 0.000 0.500

---

<2>
# Sc5Se

Crystalline Sc5Se at its relaxed geometry (PBE, Alexandria via LeMat-Bulk).

a = 10.698 Å, b = 3.421 Å, c = 7.809 Å
α = 90.00°, β = 101.71°, γ = 90.00°
Sites, in units of the cell vectors:
Sc 0.000 0.000 0.000
Sc 0.054 0.000 0.418
Sc 0.193 0.500 0.798
Sc 0.302 0.000 0.176
Sc 0.405 0.000 0.668
Sc 0.500 0.500 0.000
Sc 0.554 0.500 0.418
Sc 0.693 0.000 0.798
Sc 0.802 0.500 0.176
Sc 0.905 0.500 0.668
Se 0.264 0.500 0.443
Se 0.764 0.000 0.443

---

<3>
# Sc5Se

Crystalline Sc5Se at its relaxed geometry (PBE, Alexandria via LeMat-Bulk).

a = 5.953 Å, b = 5.953 Å, c = 5.953 Å
α = 60.00°, β = 60.00°, γ = 60.00°
Sites, in units of the cell vectors:
Sc 0.000 0.000 0.000
Sc 0.120 0.627 0.627
Sc 0.627 0.120 0.627
Sc 0.627 0.627 0.120
Sc 0.627 0.627 0.627
Se 0.250 0.250 0.250

---

If we sort the structures by their calculated energies, the order from most to least stable is <2>, <1>, <3>.

---

<1>
# Sc4Se

Crystalline Sc4Se at its relaxed geometry (PBE, Alexandria via LeMat-Bulk).

a = 5.058 Å, b = 5.058 Å, c = 5.058 Å
α = 90.00°, β = 90.00°, γ = 90.00°
Sites, in units of the cell vectors:
Sc 0.000 0.000 0.000
Sc 0.000 0.500 0.500
Sc 0.500 0.000 0.500
Sc 0.500 0.500 0.000
Se 0.500 0.500 0.500

---

<2>
# Sc4Se

Crystalline Sc4Se at its relaxed geometry (PBE, Alexandria via LeMat-Bulk).

a = 8.147 Å, b = 8.147 Å, c = 3.394 Å
α = 90.00°, β = 90.00°, γ = 90.00°
Sites, in units of the cell vectors:
Sc 0.076 0.276 0.000
Sc 0.224 0.576 0.500
Sc 0.276 0.924 0.000
Sc 0.424 0.224 0.500
Sc 0.576 0.776 0.500
Sc 0.724 0.076 0.000
Sc 0.776 0.424 0.500
Sc 0.924 0.724 0.000
Se 0.000 0.000 0.500
Se 0.500 0.500 0.000

---

If we sort the structures by their calculated energies, the order from most to least stable is <2>, <1>.